*one*
CaP2IrCl | Alexandria via LeMat-Bulk | PBE | optimized geometry; space group = P4/mmm
1.0
-2.0480 -2.3102 -4.2647
4.3379 -2.9433 -0.4887
-2.0138 -3.4377 2.8292
Ir P Ca Cl
1 2 1 1
Cartesian
0.1381 -4.3456 -0.9621
-1.0240 -1.1551 -2.1324
2.1689 -1.4716 -0.2444
0.0000 0.0000 0.0000
-1.0069 -1.7189 1.4146

=====

*two*
CaP2IrCl | Alexandria via LeMat-Bulk | PBE | optimized geometry; space group = P4/mmm
1.0
-0.5179 1.1529 4.3567
1.7131 -4.0059 1.2637
5.0937 2.1868 0.0268
Ca Ir Cl P
1 1 1 2
Cartesian
3.1445 -0.3331 2.8236
0.0000 0.0000 0.0000
2.5469 1.0934 0.0134
-0.2589 0.5764 2.1784
0.8565 -2.0029 0.6318

=====

Short version: *two* is the most stable of them.

=====

*one*
CaIrS2Cl | Alexandria via LeMat-Bulk | PBE | optimized geometry; space group = P4/mmm
1.0
4.7317 0.0000 0.0000
0.0000 4.7317 0.0000
0.0000 0.0000 4.8199
Cl Ir S Ca
1 1 2 1
Cartesian
0.0000 0.0000 2.4100
0.0000 0.0000 0.0000
0.0000 2.3658 0.0000
2.3658 0.0000 0.0000
2.3658 2.3658 2.4100

=====

*two*
CaIrS2Cl | Alexandria via LeMat-Bulk | PBE | optimized geometry; space group = P4/mmm
1.0
5.2499 0.0000 0.0000
0.0000 5.2499 0.0000
0.0000 0.0000 5.0244
Cl S Ca Ir
1 2 1 1
Cartesian
0.0000 0.0000 2.5122
0.0000 2.6249 0.0000
2.6249 0.0000 0.0000
0.0000 0.0000 0.0000
2.6249 2.6249 2.5122

=====

Short version: *one* is the most stable of them.

=====

*one*
CaIrSCl2 | Alexandria via LeMat-Bulk | PBE | optimized geometry; space group = P4/mmm
1.0
-2.7201 -3.2563 -2.2130
3.1365 -3.4181 1.1742
-2.4045 -0.7912 4.1196
Ir Cl Ca S
1 2 1 1
Cartesian
0.0000 0.0000 0.0000
1.5683 -1.7090 0.5871
-1.3601 -1.6282 -1.1065
-0.9940 -3.7328 1.5404
-1.2022 -0.3956 2.0598

=====

*two*
CaIrSCl2 | Alexandria via LeMat-Bulk | PBE | optimized geometry; space group = P4/mmm
1.0
-4.3293 -2.2404 -1.2852
1.8980 -1.0581 -4.5489
1.9697 -4.9362 1.9700
S Ir Cl Ca
1 1 2 1
Cartesian
0.9849 -2.4681 0.9850
-0.2308 -4.1174 -1.9320
-2.1646 -1.1202 -0.6426
0.9490 -0.5290 -2.2744
0.0000 0.0000 0.0000

=====

Short version: *one* is the most stable of them.